Entry 1:
PBE-GGA Tb2MgCd3, optimized geometry; symmetry = No. 69; excess energy over the best structure of this formula in the dataset = 32 meV per atom
1.0
5.976 -1.060 0.000
-1.291 5.930 0.000
-2.342 -2.435 8.724
Tb Mg Cd
4 2 6
Cartesian
-0.646 2.965 4.362 Tb
3.525 3.665 0.000 Tb
2.988 -0.530 4.362 Tb
1.160 1.206 0.000 Tb
2.342 2.435 2.917 Mg
0.000 0.000 5.807 Mg
0.540 4.170 1.467 Cd
-1.803 1.734 7.257 Cd
1.803 -1.734 7.257 Cd
4.145 0.701 1.467 Cd
0.000 0.000 2.920 Cd
2.342 2.435 5.804 Cd

Entry 2:
PBE-GGA Ba2ZnCd4Ga3, optimized geometry; symmetry = No. 115
1.0
-0.563 2.360 -4.053
-4.690 -0.239 0.513
0.126 10.112 5.870
Ba Zn Cd Ga
2 1 4 3
Cartesian
-0.250 3.729 -0.547 Ba
-2.251 7.444 4.647 Ba
-2.564 6.116 1.165 Zn
-2.627 1.060 -1.770 Cd
0.000 0.000 0.000 Cd
-0.203 7.520 1.654 Cd
-2.298 3.652 2.446 Cd
0.063 5.056 2.935 Ga
-0.173 9.924 3.049 Ga
-2.328 1.248 1.050 Ga

Entry 3:
PBE-GGA Sc5O2, optimized geometry; ΔE_f (raw) = -1.65 eV/atom; symmetry = No. 15
1.0
-2.404 3.106 3.948
-3.168 -4.898 1.924
8.553 0.310 1.036
Sc O
10 4
Cartesian
0.564 -0.572 1.370 Sc
3.649 1.996 5.155 Sc
2.213 -2.696 2.934 Sc
-0.489 -1.657 4.398 Sc
0.768 1.215 3.974 Sc
3.470 0.176 2.509 Sc
-0.668 -3.477 1.753 Sc
2.417 -0.909 5.538 Sc
-2.220 0.620 2.826 Sc
-3.352 -2.412 3.046 Sc
4.125 -1.927 2.090 O
-1.543 -3.535 3.833 O
-1.144 0.446 4.818 O
4.523 2.054 3.075 O

Entry 4:
PBE-GGA Sr2PaHgTe5, optimized geometry; ΔE_f (raw) = -1.04 eV/atom; symmetry = No. 36
1.0
-3.426 -2.338 1.735
-1.043 -1.543 -9.963
8.214 -11.366 0.900
Sr Pa Hg Te
4 2 2 10
Cartesian
2.941 -12.500 -5.214 Sr
4.991 -8.386 -1.447 Sr
1.923 -4.294 -1.991 Sr
-2.335 -5.354 -6.000 Sr
0.889 -8.633 -4.054 Pa
-0.998 -1.281 -3.696 Pa
5.750 -12.185 0.756 Hg
1.182 -7.471 -7.734 Hg
-1.937 -1.995 -6.512 Te
4.267 -12.019 -1.948 Te
3.541 -11.382 -8.347 Te
3.880 -9.147 -4.666 Te
0.474 -10.043 -6.773 Te
1.651 -7.673 -1.257 Te
1.293 -5.738 -5.180 Te
0.441 -4.192 1.046 Te
-1.505 -4.205 -2.812 Te
0.264 -1.042 -0.884 Te

Entry 5:
PBE-GGA Cr2IrSe, optimized geometry; ΔE_f (raw) = 0.33 eV/atom; symmetry = No. 123
1.0
3.672 0.000 0.000
0.000 3.939 0.000
0.000 0.000 3.939
Cr Ir Se
2 1 1
Cartesian
0.000 0.000 0.000 Cr
0.000 1.969 1.969 Cr
1.836 1.969 0.000 Ir
1.836 0.000 1.969 Se

Entry 6:
PBE-GGA TmScW2N6, optimized geometry; ΔE_f (raw) = -0.98 eV/atom; symmetry = No. 15
1.0
6.174 0.164 0.170
2.173 7.042 0.475
2.173 0.214 7.055
Tm Sc W N
2 2 4 12
Cartesian
3.716 6.440 1.137 Tm
6.803 0.980 6.562 Tm
3.716 2.094 5.325 Sc
6.803 5.326 2.375 Sc
4.989 5.766 4.809 W
2.443 2.745 1.674 W
5.530 1.653 2.890 W
8.076 4.674 6.025 W
4.894 7.204 6.022 N
2.539 1.586 0.192 N
5.626 0.215 1.677 N
7.980 5.833 7.507 N
4.823 6.283 3.092 N
2.610 4.480 1.221 N
5.697 1.136 4.607 N
7.909 2.939 6.478 N
3.642 4.409 5.146 N
3.790 2.359 3.018 N
6.877 3.010 2.554 N
6.729 5.061 4.682 N

Entry 7:
PBE-GGA FeTc2Ir, optimized geometry; symmetry = No. 8; excess energy over the best structure of this formula in the dataset = 37 meV per atom
1.0
-3.356 -2.517 2.011
-1.186 -2.712 3.589
-1.784 3.280 2.857
Fe Ir Tc
1 1 2
Cartesian
-3.163 -0.970 4.229 Fe
-1.592 -0.479 2.130 Ir
-4.530 -5.204 5.586 Tc
-4.746 -1.500 6.340 Tc

Entry 8:
PBE-GGA CuSi2Pt, optimized geometry; ΔE_f (raw) = -0.03 eV/atom; symmetry = No. 65; excess energy over the best structure of this formula in the dataset = 197 meV per atom
1.0
3.982 0.266 0.000
-0.768 3.916 0.000
0.000 0.000 3.549
Cu Pt Si
1 1 2
Cartesian
1.991 0.133 1.775 Cu
-0.384 1.958 1.775 Pt
0.000 0.000 0.000 Si
1.607 2.091 0.000 Si

Entry 9:
PBE-GGA BaCo3Rh, optimized geometry; symmetry = No. 221; excess energy over the best structure of this formula in the dataset = 1703 meV per atom
1.0
-3.461 2.411 2.049
-1.552 -3.940 2.014
2.757 0.808 3.706
Co Rh Ba
3 1 1
Cartesian
-0.776 -1.970 1.007 Co
1.378 0.404 1.853 Co
-1.730 1.205 1.024 Co
-1.128 -0.360 3.884 Rh
0.000 0.000 0.000 Ba

Entry 10:
PBE-GGA Co2TeAu2, optimized geometry; ΔE_f (raw) = 0.27 eV/atom; symmetry = No. 127; excess energy over the best structure of this formula in the dataset = 0 meV per atom
1.0
-6.367 -1.045 0.036
0.875 -5.449 -3.342
0.358 -2.061 3.453
Co Te Au
4 2 4
Cartesian
-1.587 -5.119 -2.891 Co
-4.978 -4.347 -2.079 Co
-3.904 -1.374 -0.416 Co
-0.513 -2.146 -1.228 Co
0.000 0.000 0.000 Te
-2.746 -3.247 -1.653 Te
-0.263 -4.794 -0.474 Au
-3.289 -6.296 -1.057 Au
-4.871 -3.760 0.621 Au
-1.845 -2.258 1.204 Au

Entry 11:
PBE-GGA La3Y4, optimized geometry; symmetry = No. 12; excess energy over the best structure of this formula in the dataset = 87 meV per atom
1.0
3.512 0.000 0.000
0.000 8.948 -0.493
-1.756 -4.576 7.920
La Y
3 4
Cartesian
0.000 0.000 0.000 La
0.000 0.628 3.326 La
1.756 3.743 4.100 La
0.000 3.367 0.982 Y
1.756 1.005 6.445 Y
0.000 -2.067 5.691 Y
1.756 6.438 1.736 Y

Entry 12:
PBE-GGA CeGa2Pd3, optimized geometry; symmetry = No. 63
1.0
-3.798 3.303 -2.195
-3.721 -0.864 5.138
3.320 5.115 1.950
Ce Ga Pd
2 4 6
Cartesian
-1.077 2.174 1.699 Ce
-3.122 5.380 3.193 Ce
-4.021 2.146 3.316 Ga
-2.122 0.494 4.414 Ga
1.721 3.757 2.674 Ga
-0.178 5.408 1.576 Ga
-4.114 2.693 0.867 Pd
-1.808 4.651 -0.176 Pd
-0.085 4.861 4.025 Pd
-2.855 2.543 -1.536 Pd
-1.344 5.011 6.429 Pd
-2.390 2.903 5.069 Pd

Entry 13:
PBE-GGA AgPd5Pb, optimized geometry; symmetry = No. 44; excess energy over the best structure of this formula in the dataset = 602 meV per atom
1.0
-3.325 2.960 -3.014
-5.230 -4.904 0.954
2.913 3.134 4.659
Ag Pd Pb
1 5 1
Cartesian
-2.301 2.049 -2.087 Ag
-1.006 1.362 1.481 Pd
-3.902 -1.307 -0.689 Pd
-5.306 0.425 0.510 Pd
-1.563 -0.366 -0.370 Pd
-4.871 -3.467 0.234 Pd
-5.569 0.177 -2.201 Pb

Entry 14:
PBE-GGA La4SmDy3S8, optimized geometry; ΔE_f (raw) = -2.09 eV/atom; symmetry = No. 166
1.0
-2.949 -4.709 -5.819
5.921 2.464 -4.994
1.884 -3.152 7.159
La Sm Dy S
4 1 3 8
Cartesian
-1.474 -2.355 -2.909 La
-0.532 -3.931 0.670 La
0.000 0.000 0.000 La
0.942 -1.576 3.579 La
2.960 1.232 -2.497 Sm
1.486 -1.123 -5.407 Dy
2.428 -2.699 -1.827 Dy
3.902 -0.344 1.082 Dy
5.466 -2.464 1.965 S
4.538 -0.911 -1.562 S
1.814 -2.163 0.831 S
4.013 -4.784 -0.902 S
0.843 -0.613 -2.752 S
3.042 -3.235 -4.485 S
0.318 -4.487 -2.092 S
-0.610 -2.934 -5.620 S

Entry 15:
PBE-GGA LaPr2Sb, optimized geometry; ΔE_f (raw) = -0.52 eV/atom; symmetry = No. 123; excess energy over the best structure of this formula in the dataset = 73 meV per atom
1.0
4.167 0.000 0.000
0.000 4.167 0.000
0.000 0.000 7.430
Pr Sb La
2 1 1
Cartesian
0.000 0.000 5.313 Pr
0.000 0.000 2.116 Pr
2.083 2.083 3.715 Sb
2.083 2.083 0.000 La

Entry 16:
PBE-GGA FeAsS3, optimized geometry; ΔE_f (raw) = 0.46 eV/atom; symmetry = No. 221
1.0
-1.379 0.949 -4.122
-4.203 0.180 1.447
0.475 4.343 0.841
S As Fe
3 1 1
Cartesian
-2.102 0.090 0.724 S
0.238 2.171 0.420 S
-0.689 0.475 -2.061 S
-2.553 2.736 -0.917 As
0.000 0.000 0.000 Fe

Entry 17:
PBE-GGA MgSiO3, optimized geometry; ΔE_f (raw) = -2.81 eV/atom; symmetry = No. 61
1.0
5.242 0.000 0.000
0.000 8.940 0.000
0.000 0.000 18.453
Mg Si O
16 16 48
Cartesian
0.689 5.339 16.163 Mg
4.553 3.601 6.937 Mg
1.932 5.339 6.937 Mg
3.310 3.601 16.163 Mg
0.721 2.131 16.171 Mg
4.521 6.809 6.945 Mg
1.900 2.131 6.945 Mg
3.342 6.809 16.171 Mg
4.555 8.071 2.290 Mg
0.688 0.869 11.516 Mg
3.309 8.071 11.516 Mg
1.933 0.869 2.290 Mg
1.901 6.601 2.282 Mg
3.341 2.339 11.508 Mg
0.720 6.601 11.508 Mg
4.522 2.339 2.282 Mg
4.956 3.654 13.439 Si
0.287 5.286 4.213 Si
2.908 3.654 4.213 Si
2.334 5.286 13.439 Si
4.955 8.124 14.239 Si
0.287 0.815 5.013 Si
2.908 8.124 5.013 Si
2.334 0.815 14.239 Si
1.067 3.689 9.704 Si
4.175 5.251 0.478 Si
1.554 3.689 0.478 Si
3.688 5.251 9.704 Si
4.173 0.781 8.749 Si
1.069 8.159 17.975 Si
3.690 0.781 17.975 Si
1.552 8.159 8.749 Si
5.043 3.664 15.067 O
0.199 5.276 5.841 O
2.821 3.664 5.841 O
2.422 5.276 15.067 O
4.996 2.228 12.704 O
0.246 6.712 3.478 O
2.868 2.228 3.478 O
2.375 6.712 12.704 O
0.853 4.725 12.866 O
4.389 4.215 3.639 O
1.768 4.725 3.639 O
3.475 4.215 12.866 O
5.042 8.134 12.612 O
0.200 0.806 3.385 O
2.821 8.134 3.385 O
2.421 0.806 12.612 O
4.997 6.698 14.975 O
0.246 2.242 5.749 O
2.867 6.698 5.749 O
2.376 2.242 14.975 O
3.474 8.684 14.813 O
1.769 0.256 5.587 O
4.390 8.684 5.587 O
0.853 0.256 14.813 O
1.062 3.659 8.066 O
4.180 5.281 17.292 O
1.559 3.659 17.292 O
3.683 5.281 8.066 O
1.622 2.392 10.472 O
3.620 6.548 1.246 O
0.999 2.392 1.246 O
4.243 6.548 10.472 O
4.715 3.990 10.178 O
0.528 4.950 0.952 O
3.149 3.990 0.952 O
2.094 4.950 10.178 O
4.179 0.811 10.387 O
1.064 8.129 1.161 O
3.685 0.811 1.161 O
1.557 8.129 10.387 O
3.619 2.078 7.981 O
1.623 6.861 17.207 O
4.244 2.078 17.207 O
0.998 6.861 7.981 O
0.526 0.480 8.275 O
4.716 8.460 17.501 O
2.095 0.480 17.501 O
3.147 8.460 8.275 O

Entry 18:
PBE-GGA KTiIn, optimized geometry; symmetry = No. 194; excess energy over the best structure of this formula in the dataset = 1207 meV per atom
1.0
-3.503 0.878 -4.543
4.922 -3.002 -0.668
-5.440 -9.447 2.369
K Ti In
2 2 2
Cartesian
0.753 -4.070 -1.367 K
-4.775 -7.501 -1.474 K
0.000 0.000 0.000 Ti
-2.720 -4.724 1.185 Ti
-1.360 -2.362 0.592 In
-4.080 -7.085 1.777 In

Entry 19:
PBE-GGA Mg4ZrZn5, optimized geometry; symmetry = No. 123
1.0
-2.752 -0.054 1.814
0.479 -3.199 0.632
8.808 3.980 13.482
Mg Zr Zn
4 1 5
Cartesian
1.788 0.808 2.737 Mg
3.537 1.598 5.414 Mg
5.271 2.382 8.068 Mg
7.020 3.172 10.745 Mg
0.000 0.000 0.000 Zr
-0.204 -1.205 2.649 Zn
1.521 -0.426 5.291 Zn
3.268 0.363 7.963 Zn
5.014 1.153 10.636 Zn
6.739 1.932 13.277 Zn

Entry 20:
PBE-GGA ZrGaP, optimized geometry; symmetry = No. 5; excess energy over the best structure of this formula in the dataset = 13 meV per atom
1.0
-0.808 -3.584 -0.255
3.088 -0.531 -1.934
3.285 0.435 8.414
Zr Ga P
2 2 2
Cartesian
3.458 -0.430 6.887 Zr
3.388 -2.049 3.781 Zr
1.290 -0.608 2.099 Ga
2.003 -2.527 0.268 Ga
4.728 -2.533 6.009 P
2.119 0.055 4.658 P

no.,final energy (Ha/atom),total magnetization (μB/cell)
1,-0.093,0.00
2,-0.076,0.00
3,-0.279,0.00
4,-0.156,1.99
5,-0.278,4.67
6,-0.354,0.00
7,-0.350,1.87
8,-0.194,0.00
9,-0.136,4.00
10,-0.166,5.66
11,-0.209,0.00
12,-0.195,1.52
13,-0.151,0.00
14,-0.240,0.00
15,-0.190,0.00
16,-0.171,2.62
17,-0.264,0.00
18,-0.098,5.33
19,-0.083,0.00
20,-0.235,0.00